No. 1
This record from OQMD via LeMat-Bulk describes InHg3MoS4 after structural relaxation. The functional is PBE-GGA.

The space group is P-43m (No. 215) and the conventional cell measures 7.149, 7.149 and 7.149 Å, with angles of 90.00, 90.00 and 90.00 degrees. The asymmetric unit holds In at (0.000, 0.000, 0.000), Hg at (0.000, 0.500, 0.500), Mo at (0.500, 0.500, 0.500) and S at (0.319, 0.319, 0.319).

---

No. 2
This record from OQMD via LeMat-Bulk describes InHgNO after structural relaxation. The functional is PBE-GGA.

The space group is Pmc2_1 (No. 26) and the conventional cell measures 3.695, 6.274 and 5.936 Å, with angles of 90.00, 90.00 and 90.00 degrees. The asymmetric unit holds In at (0.000, 0.159, 0.000), Hg at (0.500, 0.316, 0.479), N at (0.000, 0.156, 0.361) and O at (0.500, 0.310, 0.900).

---

| no. | E (eV/atom) |
| --- | --- |
| 1 | -3.40 |
| 2 | -4.17 |